[1]
# GGA-PBE Ac4TbPr4, relaxed
# * M_tot: 0.000 μB per formula unit
# * energy relative to the elements: 0.034 eV/atom
# * DOS at the Fermi energy: 1.677 states/eV/atom
data_Ac4TbPr4
_chemical_formula_sum 'Ac4 Tb1 Pr4'
_symmetry_space_group_name_H-M 'P 1'
_symmetry_Int_Tables_number 1
_cell_length_a 5.405
_cell_length_b 8.546
_cell_length_c 8.546
_cell_angle_alpha 84.26
_cell_angle_beta 71.57
_cell_angle_gamma 71.57
loop_
_symmetry_equiv_pos_as_xyz
'x,y,z'
loop_
_atom_site_label
_atom_site_fract_x
_atom_site_fract_y
_atom_site_fract_z
Ac1 0.334 0.331 0.000
Ac2 0.666 0.669 0.000
Ac3 0.666 0.000 0.669
Ac4 0.334 0.000 0.331
Tb1 0.000 0.000 0.000
Pr1 0.000 0.663 0.337
Pr2 0.000 0.337 0.663
Pr3 0.663 0.337 0.337
Pr4 0.337 0.663 0.663



[2]
# GGA-PBE InRu3Se, relaxed
# * M_tot: 0.000 μB per formula unit
# * formation energy (no corrections): 0.72 eV per atom
# * ΔE to the lowest computed polymorph: 0.0 meV per atom
# * DOS at the Fermi energy: 0.937 states/eV/atom
data_InRu3Se
_chemical_formula_sum 'In1 Ru3 Se1'
_symmetry_space_group_name_H-M 'P 1'
_symmetry_Int_Tables_number 1
_cell_length_a 4.533
_cell_length_b 4.533
_cell_length_c 4.533
_cell_angle_alpha 90.00
_cell_angle_beta 90.00
_cell_angle_gamma 90.00
loop_
_symmetry_equiv_pos_as_xyz
'x,y,z'
loop_
_atom_site_label
_atom_site_fract_x
_atom_site_fract_y
_atom_site_fract_z
Ru1 0.000 0.500 0.000
Ru2 0.000 0.000 0.500
Ru3 0.500 0.000 0.000
Se1 0.000 0.000 0.000
In1 0.500 0.500 0.500



[3]
# GGA-PBE SrHfSiO5, relaxed
# * M_tot: 0.000 μB per formula unit
# * formation energy (no corrections): -3.22 eV per atom
# * DOS at the Fermi energy: 0.000 states/eV/atom
data_SrHfSiO5
_chemical_formula_sum 'Sr2 Hf2 Si2 O10'
_symmetry_space_group_name_H-M 'P 1'
_symmetry_Int_Tables_number 1
_cell_length_a 5.760
_cell_length_b 5.760
_cell_length_c 7.507
_cell_angle_alpha 104.16
_cell_angle_beta 104.16
_cell_angle_gamma 105.82
loop_
_symmetry_equiv_pos_as_xyz
'x,y,z'
loop_
_atom_site_label
_atom_site_fract_x
_atom_site_fract_y
_atom_site_fract_z
Sr1 0.333 0.667 0.250
Sr2 0.667 0.333 0.750
Hf1 0.000 0.000 0.500
Hf2 0.000 0.000 0.000
Si1 0.683 0.317 0.250
Si2 0.317 0.683 0.750
O1 0.075 0.925 0.250
O2 0.925 0.075 0.750
O3 0.880 0.306 0.122
O4 0.120 0.694 0.878
O5 0.694 0.120 0.378
O6 0.306 0.880 0.622
O7 0.755 0.610 0.400
O8 0.245 0.390 0.600
O9 0.390 0.245 0.100
O10 0.610 0.755 0.900



[4]
# GGA-PBE Ta2AsPb, relaxed
# * M_tot: 0.000 μB per formula unit
# * ΔE to the lowest computed polymorph: 349.1 meV per atom
# * energy relative to the elements: 0.319 eV/atom
# * DOS at the Fermi energy: 0.448 states/eV/atom
data_Ta2AsPb
_chemical_formula_sum 'Ta2 As1 Pb1'
_symmetry_space_group_name_H-M 'P 1'
_symmetry_Int_Tables_number 1
_cell_length_a 5.332
_cell_length_b 5.332
_cell_length_c 5.320
_cell_angle_alpha 60.04
_cell_angle_beta 60.04
_cell_angle_gamma 38.40
loop_
_symmetry_equiv_pos_as_xyz
'x,y,z'
loop_
_atom_site_label
_atom_site_fract_x
_atom_site_fract_y
_atom_site_fract_z
Pb1 0.250 0.250 0.250
As1 0.750 0.750 0.750
Ta1 0.037 0.037 0.963
Ta2 0.463 0.463 0.537



[5]
# GGA-PBE Pu4Sn8Au, relaxed
# * M_tot: 16.584 μB per formula unit
# * energy relative to the elements: -0.107 eV/atom
# * DOS at the Fermi energy: 3.597 states/eV/atom
data_Pu4Sn8Au
_chemical_formula_sum 'Pu4 Sn8 Au1'
_symmetry_space_group_name_H-M 'P 1'
_symmetry_Int_Tables_number 1
_cell_length_a 4.403
_cell_length_b 4.522
_cell_length_c 16.972
_cell_angle_alpha 90.00
_cell_angle_beta 90.00
_cell_angle_gamma 90.00
loop_
_symmetry_equiv_pos_as_xyz
'x,y,z'
loop_
_atom_site_label
_atom_site_fract_x
_atom_site_fract_y
_atom_site_fract_z
Pu1 0.000 0.000 0.076
Pu2 0.000 0.500 0.610
Pu3 0.500 0.500 0.404
Pu4 0.500 0.000 0.901
Sn1 0.000 0.000 0.478
Sn2 0.000 0.500 0.923
Sn3 0.500 0.500 0.047
Sn4 0.500 0.000 0.595
Sn5 0.000 0.500 0.219
Sn6 0.000 0.000 0.752
Sn7 0.500 0.000 0.219
Sn8 0.500 0.500 0.756
Au1 0.000 0.000 0.322



[6]
# GGA-PBE Sr2Zn3Sn4Pb, relaxed
# * M_tot: 0.000 μB per formula unit
# * energy relative to the elements: -0.257 eV/atom
# * DOS at the Fermi energy: 0.407 states/eV/atom
data_Sr2Zn3Sn4Pb
_chemical_formula_sum 'Sr2 Zn3 Sn4 Pb1'
_symmetry_space_group_name_H-M 'P 1'
_symmetry_Int_Tables_number 1
_cell_length_a 4.854
_cell_length_b 4.854
_cell_length_c 11.714
_cell_angle_alpha 90.00
_cell_angle_beta 90.00
_cell_angle_gamma 90.00
loop_
_symmetry_equiv_pos_as_xyz
'x,y,z'
loop_
_atom_site_label
_atom_site_fract_x
_atom_site_fract_y
_atom_site_fract_z
Sr1 0.500 0.000 0.238
Sr2 0.000 0.500 0.762
Zn1 0.000 0.000 0.500
Zn2 0.500 0.000 0.874
Zn3 0.000 0.500 0.126
Sn1 0.500 0.500 0.000
Sn2 0.000 0.000 0.000
Sn3 0.500 0.000 0.649
Sn4 0.000 0.500 0.351
Pb1 0.500 0.500 0.500



[7]
# GGA-PBE SrAgHg2Pd2, relaxed
# * M_tot: 0.000 μB per formula unit
# * energy relative to the elements: -0.131 eV/atom
# * DOS at the Fermi energy: 0.259 states/eV/atom
data_SrAgHg2Pd2
_chemical_formula_sum 'Sr1 Ag1 Hg2 Pd2'
_symmetry_space_group_name_H-M 'P 1'
_symmetry_Int_Tables_number 1
_cell_length_a 5.378
_cell_length_b 5.378
_cell_length_c 6.792
_cell_angle_alpha 113.32
_cell_angle_beta 113.32
_cell_angle_gamma 90.00
loop_
_symmetry_equiv_pos_as_xyz
'x,y,z'
loop_
_atom_site_label
_atom_site_fract_x
_atom_site_fract_y
_atom_site_fract_z
Sr1 0.500 0.500 0.000
Ag1 0.000 0.000 0.000
Hg1 0.250 0.750 0.500
Hg2 0.750 0.250 0.500
Pd1 0.765 0.765 0.530
Pd2 0.235 0.235 0.470



[8]
# GGA-PBE H2Au3Cl8, relaxed
# * M_tot: 0.000 μB per formula unit
# * calculated total energy: -2.71 eV per atom
# * DOS at the Fermi energy: 0.329 states/eV/atom
data_H2Au3Cl8
_chemical_formula_sum 'H4 Au6 Cl16'
_symmetry_space_group_name_H-M 'P 1'
_symmetry_Int_Tables_number 1
_cell_length_a 7.618
_cell_length_b 7.618
_cell_length_c 20.800
_cell_angle_alpha 110.62
_cell_angle_beta 110.62
_cell_angle_gamma 54.29
loop_
_symmetry_equiv_pos_as_xyz
'x,y,z'
loop_
_atom_site_label
_atom_site_fract_x
_atom_site_fract_y
_atom_site_fract_z
H1 0.677 0.057 0.885
H2 0.943 0.323 0.615
H3 0.323 0.943 0.115
H4 0.057 0.677 0.385
Au1 0.052 0.948 0.250
Au2 0.948 0.052 0.750
Au3 0.509 0.049 0.594
Au4 0.951 0.491 0.906
Au5 0.491 0.951 0.406
Au6 0.049 0.509 0.094
Cl1 0.790 0.738 0.008
Cl2 0.262 0.210 0.492
Cl3 0.210 0.262 0.992
Cl4 0.738 0.790 0.508
Cl5 0.313 0.258 0.167
Cl6 0.742 0.687 0.333
Cl7 0.687 0.742 0.833
Cl8 0.258 0.313 0.667
Cl9 0.857 0.780 0.186
Cl10 0.220 0.143 0.314
Cl11 0.645 0.254 0.914
Cl12 0.746 0.355 0.586
Cl13 0.355 0.746 0.086
Cl14 0.254 0.645 0.414
Cl15 0.780 0.857 0.686
Cl16 0.143 0.220 0.814



[9]
# GGA-PBE PaTe6Pd3, relaxed
# * M_tot: 0.000 μB per formula unit
# * formation energy (no corrections): -0.40 eV per atom
# * DOS at the Fermi energy: 0.767 states/eV/atom
data_PaTe6Pd3
_chemical_formula_sum 'Pa2 Te12 Pd6'
_symmetry_space_group_name_H-M 'P 1'
_symmetry_Int_Tables_number 1
_cell_length_a 4.220
_cell_length_b 11.195
_cell_length_c 11.851
_cell_angle_alpha 110.31
_cell_angle_beta 90.00
_cell_angle_gamma 90.00
loop_
_symmetry_equiv_pos_as_xyz
'x,y,z'
loop_
_atom_site_label
_atom_site_fract_x
_atom_site_fract_y
_atom_site_fract_z
Pa1 0.750 0.051 0.707
Pa2 0.250 0.949 0.293
Te1 0.750 0.458 0.604
Te2 0.250 0.542 0.396
Te3 0.750 0.944 0.100
Te4 0.250 0.056 0.900
Te5 0.750 0.411 0.063
Te6 0.250 0.589 0.937
Te7 0.750 0.739 0.268
Te8 0.250 0.261 0.732
Te9 0.750 0.121 0.464
Te10 0.250 0.879 0.536
Te11 0.750 0.791 0.774
Te12 0.250 0.209 0.226
Pd1 0.750 0.430 0.836
Pd2 0.250 0.570 0.164
Pd3 0.750 0.666 0.538
Pd4 0.250 0.334 0.462
Pd5 0.750 0.173 0.066
Pd6 0.250 0.827 0.934



[10]
# GGA-PBE AsSe2OF, relaxed
# * M_tot: 0.000 μB per formula unit
# * formation energy (no corrections): 0.69 eV per atom
# * ΔE to the lowest computed polymorph: 374.9 meV per atom
# * DOS at the Fermi energy: 0.500 states/eV/atom
data_AsSe2OF
_chemical_formula_sum 'As1 Se2 O1 F1'
_symmetry_space_group_name_H-M 'P 1'
_symmetry_Int_Tables_number 1
_cell_length_a 4.577
_cell_length_b 3.920
_cell_length_c 4.577
_cell_angle_alpha 90.00
_cell_angle_beta 90.00
_cell_angle_gamma 90.00
loop_
_symmetry_equiv_pos_as_xyz
'x,y,z'
loop_
_atom_site_label
_atom_site_fract_x
_atom_site_fract_y
_atom_site_fract_z
As1 0.500 0.500 0.500
O1 0.000 0.500 0.000
Se1 0.000 0.000 0.500
Se2 0.500 0.000 0.000
F1 0.000 0.000 0.000



[11]
# GGA-PBE Ho4Te5S, relaxed
# * M_tot: 0.000 μB per formula unit
# * formation energy (no corrections): -1.40 eV per atom
# * DOS at the Fermi energy: 0.163 states/eV/atom
data_Ho4Te5S
_chemical_formula_sum 'Ho4 Te5 S1'
_symmetry_space_group_name_H-M 'P 1'
_symmetry_Int_Tables_number 1
_cell_length_a 4.226
_cell_length_b 8.542
_cell_length_c 9.511
_cell_angle_alpha 102.72
_cell_angle_beta 102.84
_cell_angle_gamma 90.00
loop_
_symmetry_equiv_pos_as_xyz
'x,y,z'
loop_
_atom_site_label
_atom_site_fract_x
_atom_site_fract_y
_atom_site_fract_z
Ho1 0.335 0.912 0.671
Ho2 0.999 0.756 0.997
Ho3 0.665 0.088 0.329
Ho4 0.001 0.244 0.003
Te1 0.836 0.666 0.672
Te2 0.835 0.173 0.669
Te3 0.165 0.827 0.331
Te4 0.500 0.500 0.000
Te5 0.164 0.334 0.328
S1 0.500 0.000 0.000



[12]
# GGA-PBE V2HOsPt, relaxed
# * M_tot: 0.000 μB per formula unit
# * ΔE to the lowest computed polymorph: 61.9 meV per atom
# * DOS at the Fermi energy: 0.658 states/eV/atom
data_V2HOsPt
_chemical_formula_sum 'V2 H1 Os1 Pt1'
_symmetry_space_group_name_H-M 'P 1'
_symmetry_Int_Tables_number 1
_cell_length_a 3.926
_cell_length_b 3.926
_cell_length_c 3.778
_cell_angle_alpha 90.00
_cell_angle_beta 90.00
_cell_angle_gamma 90.00
loop_
_symmetry_equiv_pos_as_xyz
'x,y,z'
loop_
_atom_site_label
_atom_site_fract_x
_atom_site_fract_y
_atom_site_fract_z
H1 0.000 0.000 0.000
Os1 0.500 0.500 0.500
Pt1 0.000 0.000 0.500
V1 0.000 0.500 0.000
V2 0.500 0.000 0.000